1.
# TlPb2Br2O2, relaxed, DFT PBE-GGA
# - E_form (uncorrected): -883.2 meV/atom
# - Total moment: 0.00 Bohr magnetons per cell
# - Total energy: -4.18 eV per atom
data_TlPb2Br2O2
_chemical_formula_sum 'Tl1 Pb2 Br2 O2'
_symmetry_space_group_name_H-M 'P 1'
_symmetry_Int_Tables_number 1
_cell_length_a 3.9502
_cell_length_b 7.0281
_cell_length_c 7.5444
_cell_angle_alpha 70.18
_cell_angle_beta 74.82
_cell_angle_gamma 73.68
loop_
_symmetry_equiv_pos_as_xyz
'x,y,z'
loop_
_atom_site_label
_atom_site_type_symbol
_atom_site_fract_x
_atom_site_fract_y
_atom_site_fract_z
O1 O 0.7995 0.3283 0.0727
Tl1 Tl 0.0000 0.0000 0.0000
Br1 Br 0.5593 0.2054 0.6760
Pb1 Pb 0.8177 0.5856 0.7790
O2 O 0.2005 0.6717 0.9273
Pb2 Pb 0.1823 0.4144 0.2210
Br2 Br 0.4407 0.7946 0.3240

---

2.
# Li6MgZn6, relaxed, DFT PBE-GGA
# - Total moment: 0.00 Bohr magnetons per cell
# - Formation energy from the elements: -0.147 eV per atom
# - Total energy: -1.74 eV per atom
data_Li6MgZn6
_chemical_formula_sum 'Li6 Mg1 Zn6'
_symmetry_space_group_name_H-M 'P 1'
_symmetry_Int_Tables_number 1
_cell_length_a 5.1185
_cell_length_b 6.9323
_cell_length_c 6.9323
_cell_angle_alpha 82.82
_cell_angle_beta 68.34
_cell_angle_gamma 68.34
loop_
_symmetry_equiv_pos_as_xyz
'x,y,z'
loop_
_atom_site_label
_atom_site_type_symbol
_atom_site_fract_x
_atom_site_fract_y
_atom_site_fract_z
Zn1 Zn 0.5000 0.7756 0.2244
Li1 Li 0.3494 0.6506 0.6506
Zn2 Zn 0.5000 0.5000 0.0000
Mg1 Mg 0.0000 0.0000 0.0000
Li2 Li 0.0000 0.3401 0.6599
Zn3 Zn 0.0000 0.5000 0.0000
Li3 Li 0.3102 0.1898 0.1898
Li4 Li 0.6506 0.3494 0.3494
Zn4 Zn 0.5000 0.2244 0.7756
Zn5 Zn 0.0000 0.0000 0.5000
Zn6 Zn 0.5000 0.0000 0.5000
Li5 Li 0.6898 0.8102 0.8102
Li6 Li 0.0000 0.6599 0.3401

---

Please write out number 2 again, unchanged.
# Li6MgZn6, relaxed, DFT PBE-GGA
# - Total moment: 0.00 Bohr magnetons per cell
# - Formation energy from the elements: -0.147 eV per atom
# - Total energy: -1.74 eV per atom
data_Li6MgZn6
_chemical_formula_sum 'Li6 Mg1 Zn6'
_symmetry_space_group_name_H-M 'P 1'
_symmetry_Int_Tables_number 1
_cell_length_a 5.1185
_cell_length_b 6.9323
_cell_length_c 6.9323
_cell_angle_alpha 82.82
_cell_angle_beta 68.34
_cell_angle_gamma 68.34
loop_
_symmetry_equiv_pos_as_xyz
'x,y,z'
loop_
_atom_site_label
_atom_site_type_symbol
_atom_site_fract_x
_atom_site_fract_y
_atom_site_fract_z
Zn1 Zn 0.5000 0.7756 0.2244
Li1 Li 0.3494 0.6506 0.6506
Zn2 Zn 0.5000 0.5000 0.0000
Mg1 Mg 0.0000 0.0000 0.0000
Li2 Li 0.0000 0.3401 0.6599
Zn3 Zn 0.0000 0.5000 0.0000
Li3 Li 0.3102 0.1898 0.1898
Li4 Li 0.6506 0.3494 0.3494
Zn4 Zn 0.5000 0.2244 0.7756
Zn5 Zn 0.0000 0.0000 0.5000
Zn6 Zn 0.5000 0.0000 0.5000
Li5 Li 0.6898 0.8102 0.8102
Li6 Li 0.0000 0.6599 0.3401

---

Please write out number 1 again, unchanged.
# TlPb2Br2O2, relaxed, DFT PBE-GGA
# - E_form (uncorrected): -883.2 meV/atom
# - Total moment: 0.00 Bohr magnetons per cell
# - Total energy: -4.18 eV per atom
data_TlPb2Br2O2
_chemical_formula_sum 'Tl1 Pb2 Br2 O2'
_symmetry_space_group_name_H-M 'P 1'
_symmetry_Int_Tables_number 1
_cell_length_a 3.9502
_cell_length_b 7.0281
_cell_length_c 7.5444
_cell_angle_alpha 70.18
_cell_angle_beta 74.82
_cell_angle_gamma 73.68
loop_
_symmetry_equiv_pos_as_xyz
'x,y,z'
loop_
_atom_site_label
_atom_site_type_symbol
_atom_site_fract_x
_atom_site_fract_y
_atom_site_fract_z
O1 O 0.7995 0.3283 0.0727
Tl1 Tl 0.0000 0.0000 0.0000
Br1 Br 0.5593 0.2054 0.6760
Pb1 Pb 0.8177 0.5856 0.7790
O2 O 0.2005 0.6717 0.9273
Pb2 Pb 0.1823 0.4144 0.2210
Br2 Br 0.4407 0.7946 0.3240

---

Q: What is the total moment in the first record?
A: 0.00 Bohr magnetons per cell